A plane-wave DFT calculation with PBE was carried out for La2Se3 after structural relaxation.

For the uncorrected formation energy, the calculation gives -2.04 eV per atom. The calculation puts the size of the total moment at 0.0 μB per formula unit.

The space group is I-42d (No. 122) and the conventional cell measures 9.099, 9.099 and 27.214 Å, with angles of 90.00, 90.00 and 90.00 degrees. The distinct sites, in fractional coordinates, are La at (0.000, 0.000, 0.166), La at (0.120, 0.250, 0.625), La at (0.137, 0.242, 0.289), Se at (0.073, 0.175, 0.067), Se at (0.074, 0.180, 0.396) and Se at (0.080, 0.170, 0.734).

A plane-wave DFT calculation with PBE was carried out for MgMn5Pd6 after structural relaxation.

The energy of formation is -0.28 eV/atom. The calculation puts the size of the total moment at 22.3 μB per formula unit.

The space group is P2/m (No. 10) and the conventional cell measures 4.374, 6.420 and 6.810 Å, with angles of 90.00, 106.02 and 90.00 degrees. The distinct sites, in fractional coordinates, are Mg at (0.000, 0.000, 0.000), Mn at (0.000, 0.500, 0.000), Mn at (0.332, 0.500, 0.667), Mn at (0.333, 0.000, 0.667), Pd at (0.169, 0.251, 0.336) and Pd at (0.500, 0.255, 0.000).

A plane-wave DFT calculation with PBE was carried out for K2DyScO4 after structural relaxation.

For the uncorrected formation energy, the calculation gives -2.74 eV per atom. The calculation puts the size of the total moment at 0.0 μB per formula unit.

The space group is P2/m (No. 10) and the conventional cell measures 5.829, 3.373 and 6.511 Å, with angles of 90.00, 107.36 and 90.00 degrees. The distinct sites, in fractional coordinates, are K at (0.000, 0.000, 0.000), K at (0.500, 0.500, 0.000), Dy at (0.000, 0.500, 0.500), Sc at (0.500, 0.000, 0.500), O at (0.241, 0.000, 0.683) and O at (0.284, 0.500, 0.320).

A plane-wave DFT calculation with PBE was carried out for Tb4Pr3Y8 after structural relaxation.

The energy of formation is 0.38 eV/atom. The calculation puts the size of the total moment at 0.0 μB per formula unit.

The space group is C2/m (No. 12) and the conventional cell measures 13.538, 12.901 and 6.791 Å, with angles of 90.00, 120.02 and 90.00 degrees. The distinct sites, in fractional coordinates, are Tb at (0.000, 0.000, 0.000), Tb at (0.000, 0.000, 0.500), Tb at (0.250, 0.250, 0.000), Pr at (0.000, 0.500, 0.000), Pr at (0.250, 0.250, 0.500), Y at (0.000, 0.252, 0.000), Y at (0.000, 0.357, 0.500), Y at (0.232, 0.500, 0.502) and Y at (0.241, 0.500, 0.990).

A plane-wave DFT calculation with PBE was carried out for YZrAs2 after structural relaxation.

The energy of formation is -0.96 eV/atom. For the distance to the lowest polymorph of the same formula, the calculation gives 1.470 eV/f.u. The calculation puts the size of the total moment at 0.0 μB per formula unit.

The space group is P2/m (No. 10) and the conventional cell measures 3.433, 3.651 and 6.991 Å, with angles of 90.00, 102.99 and 90.00 degrees. The distinct sites, in fractional coordinates, are Y at (0.000, 0.000, 0.000), Zr at (0.000, 0.000, 0.500) and As at (0.491, 0.500, 0.269).

A plane-wave DFT calculation with PBE was carried out for Ba2NaSn2 after structural relaxation.

The energy of formation is -0.49 eV/atom. For the distance to the lowest polymorph of the same formula, the calculation gives 0.100 eV/f.u. The calculation puts the size of the total moment at 0.0 μB per formula unit.

The space group is P4/mbm (No. 127) and the conventional cell measures 8.885, 8.885 and 5.078 Å, with angles of 90.00, 90.00 and 90.00 degrees. The distinct sites, in fractional coordinates, are Ba at (0.171, 0.329, 0.000), Na at (0.000, 0.000, 0.500) and Sn at (0.119, 0.619, 0.500).